# 1
## LiFe2S3 (PBE-GGA)

Data for an optimized crystal structure of LiFe2S3.

Calculated total energy = -5.710 eV per atom
Total magnetization = 0.02 μB/f.u.
Symmetry = Cmcm (63)

```
data_LiFe2S3
_cell_length_a 6.858
_cell_length_b 6.858
_cell_length_c 5.053
_cell_angle_alpha 90.04
_cell_angle_beta 90.04
_cell_angle_gamma 70.80
_space_group_name_H-M_alt 'P 1'
_space_group_IT_number 1
_space_group_name_Hall 'P 1'
loop_
_atom_site_label
_atom_site_type_symbol
_atom_site_fract_x
_atom_site_fract_y
_atom_site_fract_z
S1 S 0.582 0.199 0.750
S2 S 0.801 0.418 0.250
S3 S 0.110 0.110 0.750
S4 S 0.199 0.582 0.750
S5 S 0.890 0.890 0.250
S6 S 0.418 0.801 0.250
Fe1 Fe 0.841 0.159 0.500
Fe2 Fe 0.841 0.159 0.000
Fe3 Fe 0.159 0.841 0.500
Fe4 Fe 0.159 0.841 0.000
Li1 Li 0.426 0.426 0.250
Li2 Li 0.574 0.574 0.750
```



# 2
## InTc2Pd (PBE-GGA)

Data for an optimized crystal structure of InTc2Pd.

Calculated total energy = -6.942 eV per atom
Total magnetization = 1.00 μB/f.u.
Symmetry = F-43m (216)

```
data_InTc2Pd
_cell_length_a 4.510
_cell_length_b 4.510
_cell_length_c 4.510
_cell_angle_alpha 60.00
_cell_angle_beta 60.00
_cell_angle_gamma 60.00
_space_group_name_H-M_alt 'P 1'
_space_group_IT_number 1
_space_group_name_Hall 'P 1'
loop_
_atom_site_label
_atom_site_type_symbol
_atom_site_fract_x
_atom_site_fract_y
_atom_site_fract_z
Pd1 Pd 0.250 0.250 0.250
In1 In 0.500 0.500 0.500
Tc1 Tc 0.000 0.000 0.000
Tc2 Tc 0.750 0.750 0.750
```



# 3
## BaHoPO (PBE-GGA)

Data for an optimized crystal structure of BaHoPO.

Total magnetization = 0.00 μB/f.u.
Symmetry = P4/nmm (129)
Offset from the most stable computed form = 0.461 eV/atom

```
data_BaHoPO
_cell_length_a 4.742
_cell_length_b 4.742
_cell_length_c 9.913
_cell_angle_alpha 90.00
_cell_angle_beta 90.00
_cell_angle_gamma 90.00
_space_group_name_H-M_alt 'P 1'
_space_group_IT_number 1
_space_group_name_Hall 'P 1'
loop_
_atom_site_label
_atom_site_type_symbol
_atom_site_fract_x
_atom_site_fract_y
_atom_site_fract_z
O1 O 0.250 0.750 0.000
O2 O 0.750 0.250 0.000
Ba1 Ba 0.750 0.250 0.500
Ba2 Ba 0.250 0.750 0.500
P1 P 0.750 0.750 0.311
P2 P 0.250 0.250 0.689
Ho1 Ho 0.250 0.250 0.950
Ho2 Ho 0.750 0.750 0.050
```



# 4
## Cs2NaPtCl6 (PBE-GGA)

Data for an optimized crystal structure of Cs2NaPtCl6.

Calculated total energy = -3.326 eV per atom
Total magnetization = 0.01 μB/f.u.
Symmetry = Fm-3m (225)

```
data_Cs2NaPtCl6
_cell_length_a 7.377
_cell_length_b 7.377
_cell_length_c 7.377
_cell_angle_alpha 60.00
_cell_angle_beta 60.00
_cell_angle_gamma 60.00
_space_group_name_H-M_alt 'P 1'
_space_group_IT_number 1
_space_group_name_Hall 'P 1'
loop_
_atom_site_label
_atom_site_type_symbol
_atom_site_fract_x
_atom_site_fract_y
_atom_site_fract_z
Cl1 Cl 0.267 0.267 0.733
Cl2 Cl 0.267 0.733 0.733
Cl3 Cl 0.733 0.267 0.267
Cl4 Cl 0.267 0.733 0.267
Cl5 Cl 0.733 0.733 0.267
Cl6 Cl 0.733 0.267 0.733
Cs1 Cs 0.250 0.250 0.250
Cs2 Cs 0.750 0.750 0.750
Na1 Na 0.000 0.000 0.000
Pt1 Pt 0.500 0.500 0.500
```



# 5
## Hf8Ni21 (PBE-GGA)

Data for an optimized crystal structure of Hf8Ni21.

Total magnetization = 0.01 μB/f.u.
Symmetry = P-1 (2)
ΔH_f (0 K) = -0.50 eV per atom

```
data_Hf8Ni21
_cell_length_a 6.398
_cell_length_b 7.968
_cell_length_c 8.510
_cell_angle_alpha 75.11
_cell_angle_beta 68.12
_cell_angle_gamma 75.45
_space_group_name_H-M_alt 'P 1'
_space_group_IT_number 1
_space_group_name_Hall 'P 1'
loop_
_atom_site_label
_atom_site_type_symbol
_atom_site_fract_x
_atom_site_fract_y
_atom_site_fract_z
Hf1 Hf 0.431 0.463 0.255
Hf2 Hf 0.070 0.403 0.814
Hf3 Hf 0.753 0.063 0.466
Hf4 Hf 0.248 0.062 0.107
Hf5 Hf 0.247 0.937 0.534
Hf6 Hf 0.930 0.597 0.186
Hf7 Hf 0.752 0.938 0.893
Hf8 Hf 0.569 0.537 0.745
Ni1 Ni 0.514 0.117 0.258
Ni2 Ni 0.486 0.883 0.742
Ni3 Ni 0.901 0.217 0.654
Ni4 Ni 0.287 0.391 0.029
Ni5 Ni 0.483 0.206 0.776
Ni6 Ni 0.000 0.500 0.500
Ni7 Ni 0.864 0.289 0.157
Ni8 Ni 0.683 0.401 0.463
Ni9 Ni 0.304 0.745 0.041
Ni10 Ni 0.099 0.783 0.346
Ni11 Ni 0.713 0.609 0.971
Ni12 Ni 0.681 0.758 0.451
Ni13 Ni 0.881 0.946 0.150
Ni14 Ni 0.517 0.794 0.224
Ni15 Ni 0.136 0.711 0.843
Ni16 Ni 0.317 0.599 0.537
Ni17 Ni 0.099 0.258 0.347
Ni18 Ni 0.696 0.255 0.959
Ni19 Ni 0.319 0.242 0.549
Ni20 Ni 0.901 0.742 0.653
Ni21 Ni 0.119 0.054 0.850
```



# 6
## LuNiOs (PBE-GGA)

Data for an optimized crystal structure of LuNiOs.

Total magnetization = 0.06 μB/f.u.
Symmetry = F-43m (216)
ΔH_f (0 K) = 0.96 eV per atom
Offset from the most stable computed form = 0.482 eV/atom

```
data_LuNiOs
_cell_length_a 4.353
_cell_length_b 4.353
_cell_length_c 4.353
_cell_angle_alpha 60.00
_cell_angle_beta 60.00
_cell_angle_gamma 60.00
_space_group_name_H-M_alt 'P 1'
_space_group_IT_number 1
_space_group_name_Hall 'P 1'
loop_
_atom_site_label
_atom_site_type_symbol
_atom_site_fract_x
_atom_site_fract_y
_atom_site_fract_z
Os1 Os 0.750 0.750 0.750
Lu1 Lu 0.000 0.000 0.000
Ni1 Ni 0.250 0.250 0.250
```



# 7
## CuAg4 (PBE-GGA)

Data for an optimized crystal structure of CuAg4.

Symmetry = P1 (1)
ΔH_f (0 K) = 0.05 eV per atom
Offset from the most stable computed form = 0.029 eV/atom

```
data_CuAg4
_cell_length_a 4.982
_cell_length_b 7.609
_cell_length_c 11.100
_cell_angle_alpha 92.48
_cell_angle_beta 93.71
_cell_angle_gamma 90.08
_space_group_name_H-M_alt 'P 1'
_space_group_IT_number 1
_space_group_name_Hall 'P 1'
loop_
_atom_site_label
_atom_site_type_symbol
_atom_site_fract_x
_atom_site_fract_y
_atom_site_fract_z
Ag1 Ag 0.371 0.446 0.160
Ag2 Ag 0.856 0.366 0.039
Ag3 Ag 0.072 0.320 0.484
Ag4 Ag 0.564 0.239 0.360
Ag5 Ag 0.905 0.673 0.529
Ag6 Ag 0.198 0.799 0.197
Ag7 Ag 0.693 0.724 0.075
Ag8 Ag 0.332 0.288 0.914
Ag9 Ag 0.184 0.654 0.944
Ag10 Ag 0.007 0.005 0.984
Ag11 Ag 0.589 0.391 0.609
Ag12 Ag 0.041 0.164 0.238
Ag13 Ag 0.747 0.033 0.570
Ag14 Ag 0.259 0.115 0.691
Ag15 Ag 0.524 0.079 0.112
Ag16 Ag 0.668 0.562 0.836
Ag17 Ag 0.413 0.755 0.654
Ag18 Ag 0.232 0.958 0.444
Ag19 Ag 0.720 0.872 0.321
Ag20 Ag 0.391 0.596 0.402
Cu1 Cu 0.881 0.520 0.282
Cu2 Cu 0.797 0.198 0.800
Cu3 Cu 0.503 0.929 0.875
Cu4 Cu 0.942 0.844 0.761
Cu5 Cu 0.111 0.471 0.720
```



# 8
## YCoW2 (PBE-GGA)

Data for an optimized crystal structure of YCoW2.

Total magnetization = 0.33 μB/f.u.
Symmetry = F-43m (216)
ΔH_f (0 K) = 0.39 eV per atom

```
data_YCoW2
_cell_length_a 4.557
_cell_length_b 4.557
_cell_length_c 4.557
_cell_angle_alpha 60.00
_cell_angle_beta 60.00
_cell_angle_gamma 60.00
_space_group_name_H-M_alt 'P 1'
_space_group_IT_number 1
_space_group_name_Hall 'P 1'
loop_
_atom_site_label
_atom_site_type_symbol
_atom_site_fract_x
_atom_site_fract_y
_atom_site_fract_z
W1 W 0.750 0.750 0.750
W2 W 0.000 0.000 0.000
Co1 Co 0.250 0.250 0.250
Y1 Y 0.500 0.500 0.500
```



# 9
## NdAl2PtAu (PBE-GGA)

Data for an optimized crystal structure of NdAl2PtAu.

Calculated total energy = -5.260 eV per atom
Total magnetization = 0.01 μB/f.u.
Symmetry = P4/nmm (129)

```
data_NdAl2PtAu
_cell_length_a 4.399
_cell_length_b 4.399
_cell_length_c 10.326
_cell_angle_alpha 90.00
_cell_angle_beta 90.00
_cell_angle_gamma 90.00
_space_group_name_H-M_alt 'P 1'
_space_group_IT_number 1
_space_group_name_Hall 'P 1'
loop_
_atom_site_label
_atom_site_type_symbol
_atom_site_fract_x
_atom_site_fract_y
_atom_site_fract_z
Al1 Al 0.000 0.500 0.863
Al2 Al 0.000 0.000 0.500
Al3 Al 0.500 0.500 0.500
Al4 Al 0.500 0.000 0.137
Nd1 Nd 0.000 0.500 0.256
Nd2 Nd 0.500 0.000 0.744
Au1 Au 0.000 0.000 0.000
Au2 Au 0.500 0.500 0.000
Pt1 Pt 0.000 0.500 0.625
Pt2 Pt 0.500 0.000 0.375
```



# 10
## Nd2YAl3Si2Pd (PBE-GGA)

Data for an optimized crystal structure of Nd2YAl3Si2Pd.

Calculated total energy = -5.556 eV per atom
Total magnetization = 0.00 μB/f.u.
Symmetry = Amm2 (38)

```
data_Nd2YAl3Si2Pd
_cell_length_a 4.321
_cell_length_b 7.030
_cell_length_c 7.030
_cell_angle_alpha 120.13
_cell_angle_beta 90.00
_cell_angle_gamma 90.00
_space_group_name_H-M_alt 'P 1'
_space_group_IT_number 1
_space_group_name_Hall 'P 1'
loop_
_atom_site_label
_atom_site_type_symbol
_atom_site_fract_x
_atom_site_fract_y
_atom_site_fract_z
Nd1 Nd 0.000 0.418 0.001
Nd2 Nd 0.000 0.001 0.418
Si1 Si 0.500 0.664 0.341
Si2 Si 0.500 0.341 0.664
Al1 Al 0.500 0.238 0.238
Al2 Al 0.500 0.764 0.997
Al3 Al 0.500 0.997 0.764
Y1 Y 0.000 0.584 0.584
Pd1 Pd 0.000 0.994 0.994
```



# 11
## Cu3SnS4 (PBE-GGA)

Data for an optimized crystal structure of Cu3SnS4.

Calculated total energy = -4.298 eV per atom
Symmetry = I-42m (121)

```
data_Cu3SnS4
_cell_length_a 6.611
_cell_length_b 6.611
_cell_length_c 6.611
_cell_angle_alpha 131.97
_cell_angle_beta 131.97
_cell_angle_gamma 70.28
_space_group_name_H-M_alt 'P 1'
_space_group_IT_number 1
_space_group_name_Hall 'P 1'
loop_
_atom_site_label
_atom_site_type_symbol
_atom_site_fract_x
_atom_site_fract_y
_atom_site_fract_z
S1 S 0.132 0.132 0.528
S2 S 0.868 0.396 0.000
S3 S 0.396 0.868 0.000
S4 S 0.604 0.604 0.472
Cu1 Cu 0.750 0.250 0.500
Cu2 Cu 0.500 0.500 0.000
Cu3 Cu 0.250 0.750 0.500
Sn1 Sn 0.000 0.000 0.000
```



# 12
## CsBeW3 (PBE-GGA)

Data for an optimized crystal structure of CsBeW3.

Calculated total energy = -6.474 eV per atom
Total magnetization = 0.01 μB/f.u.
Symmetry = Pm-3m (221)

```
data_CsBeW3
_cell_length_a 4.505
_cell_length_b 4.505
_cell_length_c 4.505
_cell_angle_alpha 90.00
_cell_angle_beta 90.00
_cell_angle_gamma 90.00
_space_group_name_H-M_alt 'P 1'
_space_group_IT_number 1
_space_group_name_Hall 'P 1'
loop_
_atom_site_label
_atom_site_type_symbol
_atom_site_fract_x
_atom_site_fract_y
_atom_site_fract_z
Cs1 Cs 0.000 0.000 0.000
W1 W 0.000 0.500 0.500
W2 W 0.500 0.500 0.000
W3 W 0.500 0.000 0.500
Be1 Be 0.500 0.500 0.500
```



Number 11 is which compound? Cu3SnS4